--- 1 ---
! YZrNbTe2 PBE-GGA optimized geometry; values from VASP
&SYSTEM
  ibrav = 0, nat = 5, ntyp = 4
/
ATOMIC_SPECIES
Y 88.91 Y.upf
Zr 91.22 Zr.upf
Nb 92.91 Nb.upf
Te 127.60 Te.upf
ATOMIC_POSITIONS crystal
Y 0.000 0.000 0.000
Zr 0.500 0.500 0.500
Nb 0.500 0.500 0.000
Te 0.000 0.500 0.500
Te 0.500 0.000 0.500
CELL_PARAMETERS angstrom
5.562 0.000 0.000
0.000 5.562 0.000
0.000 0.000 4.857
! Mass density in Mg/m³: 5.8
! Volume in Å³ per atom: 30.0
! Space-group type: P4/mmm



--- 2 ---
! YZrNbTe2 PBE-GGA optimized geometry; values from VASP
&SYSTEM
  ibrav = 0, nat = 5, ntyp = 4
/
ATOMIC_SPECIES
Y 88.91 Y.upf
Zr 91.22 Zr.upf
Nb 92.91 Nb.upf
Te 127.60 Te.upf
ATOMIC_POSITIONS crystal
Y 0.000 0.000 0.000
Zr 0.500 0.500 0.000
Nb 0.000 0.000 0.500
Te 0.000 0.500 0.500
Te 0.500 0.000 0.500
CELL_PARAMETERS angstrom
5.366 0.000 0.000
0.000 5.366 0.000
0.000 0.000 5.327
! Mass density in Mg/m³: 5.7
! Volume in Å³ per atom: 30.7
! Space-group type: P4/mmm



Most stable one: 1, least stable one: 2.



--- 1 ---
! ZrNbTe2 PBE-GGA optimized geometry; values from VASP
&SYSTEM
  ibrav = 0, nat = 16, ntyp = 3
/
ATOMIC_SPECIES
Zr 91.22 Zr.upf
Nb 92.91 Nb.upf
Te 127.60 Te.upf
ATOMIC_POSITIONS crystal
Zr 0.000 0.000 0.000
Zr 0.000 0.500 0.500
Zr 0.500 0.000 0.500
Zr 0.500 0.500 0.000
Nb 0.000 0.000 0.500
Nb 0.000 0.500 0.000
Nb 0.500 0.000 0.000
Nb 0.500 0.500 0.500
Te 0.250 0.250 0.250
Te 0.250 0.250 0.750
Te 0.250 0.750 0.250
Te 0.250 0.750 0.750
Te 0.750 0.250 0.250
Te 0.750 0.250 0.750
Te 0.750 0.750 0.250
Te 0.750 0.750 0.750
CELL_PARAMETERS angstrom
7.003 0.000 0.000
0.000 7.003 0.000
0.000 0.000 7.003
! Mass density in Mg/m³: 8.5
! Volume in Å³ per atom: 21.5
! Space-group type: Fm-3m



--- 2 ---
! ZrNbTe2 PBE-GGA optimized geometry; values from VASP
&SYSTEM
  ibrav = 0, nat = 16, ntyp = 3
/
ATOMIC_SPECIES
Zr 91.22 Zr.upf
Nb 92.91 Nb.upf
Te 127.60 Te.upf
ATOMIC_POSITIONS crystal
Zr 0.000 0.000 0.000
Zr 0.000 0.500 0.250
Zr 0.500 0.000 0.750
Zr 0.500 0.500 0.500
Nb 0.000 0.000 0.500
Nb 0.000 0.500 0.750
Nb 0.500 0.000 0.250
Nb 0.500 0.500 0.000
Te 0.228 0.250 0.625
Te 0.250 0.728 0.875
Te 0.250 0.772 0.375
Te 0.272 0.250 0.125
Te 0.728 0.750 0.125
Te 0.750 0.228 0.375
Te 0.750 0.272 0.875
Te 0.772 0.750 0.625
CELL_PARAMETERS angstrom
5.058 0.000 0.000
0.000 5.058 0.000
0.000 0.000 17.414
! Mass density in Mg/m³: 6.6
! Volume in Å³ per atom: 27.8
! Space-group type: I-42d



--- 3 ---
! ZrNbTe2 PBE-GGA optimized geometry; values from VASP
&SYSTEM
  ibrav = 0, nat = 16, ntyp = 3
/
ATOMIC_SPECIES
Zr 91.22 Zr.upf
Nb 92.91 Nb.upf
Te 127.60 Te.upf
ATOMIC_POSITIONS crystal
Zr 0.104 0.000 0.156
Zr 0.396 0.500 0.844
Zr 0.604 0.500 0.156
Zr 0.896 0.000 0.844
Nb 0.105 0.500 0.485
Nb 0.395 0.000 0.515
Nb 0.605 0.000 0.485
Nb 0.895 0.500 0.515
Te 0.052 0.500 0.819
Te 0.241 0.000 0.713
Te 0.259 0.500 0.287
Te 0.448 0.000 0.181
Te 0.552 0.000 0.819
Te 0.741 0.500 0.713
Te 0.759 0.000 0.287
Te 0.948 0.500 0.181
CELL_PARAMETERS angstrom
14.896 0.000 0.000
0.000 3.726 0.000
-2.025 0.000 7.134
! Mass density in Mg/m³: 7.4
! Volume in Å³ per atom: 24.7
! Space-group type: C2/m



--- 4 ---
! ZrNbTe2 PBE-GGA optimized geometry; values from VASP
&SYSTEM
  ibrav = 0, nat = 12, ntyp = 3
/
ATOMIC_SPECIES
Zr 91.22 Zr.upf
Nb 92.91 Nb.upf
Te 127.60 Te.upf
ATOMIC_POSITIONS crystal
Zr 0.000 0.000 0.000
Zr 0.333 0.667 0.667
Zr 0.667 0.333 0.333
Nb 0.000 0.000 0.500
Nb 0.333 0.667 0.167
Nb 0.667 0.333 0.833
Te 0.000 0.000 0.099
Te 0.000 0.000 0.901
Te 0.333 0.667 0.567
Te 0.333 0.667 0.766
Te 0.667 0.333 0.234
Te 0.667 0.333 0.433
CELL_PARAMETERS angstrom
3.463 0.000 0.000
-1.732 2.999 0.000
0.000 0.000 29.182
! Mass density in Mg/m³: 7.2
! Volume in Å³ per atom: 25.3
! Space-group type: R-3m



Most stable one: 3, least stable one: 2.



--- 1 ---
! ZrNbTe3 PBE-GGA optimized geometry; values from VASP
&SYSTEM
  ibrav = 0, nat = 5, ntyp = 3
/
ATOMIC_SPECIES
Zr 91.22 Zr.upf
Nb 92.91 Nb.upf
Te 127.60 Te.upf
ATOMIC_POSITIONS crystal
Zr 0.000 0.000 0.000
Nb 0.500 0.500 0.500
Te 0.000 0.500 0.500
Te 0.500 0.000 0.500
Te 0.500 0.500 0.000
CELL_PARAMETERS angstrom
5.389 0.000 0.000
0.000 5.389 0.000
0.000 0.000 5.389
! Mass density in Mg/m³: 6.0
! Volume in Å³ per atom: 31.3
! Space-group type: Pm-3m



--- 2 ---
! ZrNbTe3 PBE-GGA optimized geometry; values from VASP
&SYSTEM
  ibrav = 0, nat = 20, ntyp = 3
/
ATOMIC_SPECIES
Zr 91.22 Zr.upf
Nb 92.91 Nb.upf
Te 127.60 Te.upf
ATOMIC_POSITIONS crystal
Zr 0.155 0.304 0.315
Zr 0.304 0.155 0.815
Zr 0.696 0.845 0.185
Zr 0.845 0.696 0.685
Nb 0.288 0.712 0.250
Nb 0.455 0.545 0.750
Nb 0.545 0.455 0.250
Nb 0.712 0.288 0.750
Te 0.015 0.182 0.956
Te 0.144 0.608 0.542
Te 0.182 0.015 0.456
Te 0.272 0.455 0.014
Te 0.392 0.856 0.958
Te 0.455 0.272 0.514
Te 0.545 0.728 0.486
Te 0.608 0.144 0.042
Te 0.728 0.545 0.986
Te 0.818 0.985 0.544
Te 0.856 0.392 0.458
Te 0.985 0.818 0.044
CELL_PARAMETERS angstrom
7.146 -5.732 0.000
7.146 5.732 0.000
-0.781 0.000 6.728
! Mass density in Mg/m³: 6.8
! Volume in Å³ per atom: 27.6
! Space-group type: C2/c



Most stable one: 2, least stable one: 1.



--- 1 ---
! Th3Nb PBE-GGA optimized geometry; values from VASP
&SYSTEM
  ibrav = 0, nat = 8, ntyp = 2
/
ATOMIC_SPECIES
Th 232.04 Th.upf
Nb 92.91 Nb.upf
ATOMIC_POSITIONS crystal
Th 0.000 0.000 0.000
Th 0.000 0.226 0.500
Th 0.000 0.774 0.500
Th 0.500 0.274 0.000
Th 0.500 0.500 0.500
Th 0.500 0.726 0.000
Nb 0.000 0.500 0.001
Nb 0.500 0.000 0.501
CELL_PARAMETERS angstrom
3.716 0.000 0.000
0.000 10.786 0.000
0.000 0.000 5.693
! Mass density in Mg/m³: 11.5
! Volume in Å³ per atom: 28.5
! Space-group type: Imm2



--- 2 ---
! Th3Nb PBE-GGA optimized geometry; values from VASP
&SYSTEM
  ibrav = 0, nat = 8, ntyp = 2
/
ATOMIC_SPECIES
Th 232.04 Th.upf
Nb 92.91 Nb.upf
ATOMIC_POSITIONS crystal
Th 0.175 0.349 0.250
Th 0.175 0.825 0.250
Th 0.349 0.175 0.750
Th 0.651 0.825 0.250
Th 0.825 0.175 0.750
Th 0.825 0.651 0.750
Nb 0.333 0.667 0.750
Nb 0.667 0.333 0.250
CELL_PARAMETERS angstrom
6.739 0.000 0.000
-3.370 5.837 0.000
0.000 0.000 5.789
! Mass density in Mg/m³: 11.5
! Volume in Å³ per atom: 28.5
! Space-group type: P6_3/mmc



Most stable one: 1, least stable one: 2.



--- 1 ---
! ThNb2 PBE-GGA optimized geometry; values from VASP
&SYSTEM
  ibrav = 0, nat = 6, ntyp = 2
/
ATOMIC_SPECIES
Th 232.04 Th.upf
Nb 92.91 Nb.upf
ATOMIC_POSITIONS crystal
Th 0.125 0.125 0.125
Th 0.875 0.875 0.875
Nb 0.000 0.500 0.500
Nb 0.500 0.000 0.500
Nb 0.500 0.500 0.000
Nb 0.500 0.500 0.500
CELL_PARAMETERS angstrom
0.000 4.085 4.085
4.085 0.000 4.085
4.085 4.085 0.000
! Mass density in Mg/m³: 10.2
! Volume in Å³ per atom: 22.7
! Space-group type: Fd-3m



--- 2 ---
! ThNb2 PBE-GGA optimized geometry; values from VASP
&SYSTEM
  ibrav = 0, nat = 6, ntyp = 2
/
ATOMIC_SPECIES
Th 232.04 Th.upf
Nb 92.91 Nb.upf
ATOMIC_POSITIONS crystal
Th 0.000 0.000 0.000
Th 0.500 0.500 0.500
Nb 0.000 0.000 0.313
Nb 0.000 0.000 0.687
Nb 0.500 0.500 0.187
Nb 0.500 0.500 0.813
CELL_PARAMETERS angstrom
3.472 0.000 0.000
0.000 3.472 0.000
0.000 0.000 11.306
! Mass density in Mg/m³: 10.2
! Volume in Å³ per atom: 22.7
! Space-group type: I4/mmm



Most stable one: 1, least stable one: 2.



--- 1 ---
! ThTi2Nb PBE-GGA optimized geometry; values from VASP
&SYSTEM
  ibrav = 0, nat = 16, ntyp = 3
/
ATOMIC_SPECIES
Th 232.04 Th.upf
Ti 47.87 Ti.upf
Nb 92.91 Nb.upf
ATOMIC_POSITIONS crystal
Th 0.000 0.000 0.000
Th 0.000 0.500 0.500
Th 0.500 0.000 0.500
Th 0.500 0.500 0.000
Ti 0.250 0.250 0.250
Ti 0.250 0.250 0.750
Ti 0.250 0.750 0.250
Ti 0.250 0.750 0.750
Ti 0.750 0.250 0.250
Ti 0.750 0.250 0.750
Ti 0.750 0.750 0.250
Ti 0.750 0.750 0.750
Nb 0.000 0.000 0.500
Nb 0.000 0.500 0.000
Nb 0.500 0.000 0.000
Nb 0.500 0.500 0.500
CELL_PARAMETERS angstrom
6.869 0.000 0.000
0.000 6.869 0.000
0.000 0.000 6.869
! Mass density in Mg/m³: 8.6
! Volume in Å³ per atom: 20.3
! Space-group type: Fm-3m



--- 2 ---
! ThTi2Nb PBE-GGA optimized geometry; values from VASP
&SYSTEM
  ibrav = 0, nat = 4, ntyp = 3
/
ATOMIC_SPECIES
Th 232.04 Th.upf
Ti 47.87 Ti.upf
Nb 92.91 Nb.upf
ATOMIC_POSITIONS crystal
Th 0.000 0.000 0.000
Ti 0.000 0.500 0.500
Ti 0.500 0.000 0.500
Nb 0.500 0.500 0.000
CELL_PARAMETERS angstrom
4.244 0.000 0.000
0.000 4.244 0.000
0.000 0.000 4.630
! Mass density in Mg/m³: 8.4
! Volume in Å³ per atom: 20.8
! Space-group type: P4/mmm



Most stable one: 1, least stable one: 2.